The following is a PBE-GGA calculation of a geometry-optimized HoEr4Cu4 structure, from Alexandria.

The structure in POSCAR format:
```
HoEr4Cu4
1.0
-5.1588 2.0297 -1.5179
-3.7131 -4.8775 6.0972
0.8650 6.4530 5.6889
Cu Ho Er
8 2 8
Cartesian
-3.6544 2.6941 7.6723 Cu
-3.1972 0.6840 9.2480 Cu
-7.1399 -0.8981 3.8325 Cu
-3.4720 4.2246 4.0341 Cu
-4.8253 6.0607 5.2710 Cu
-3.1520 0.4388 2.9492 Cu
-5.7355 -0.1471 5.8809 Cu
-0.8514 1.3638 2.1849 Cu
0.0000 0.0000 0.0000 Ho
-4.0035 1.8026 5.1341 Ho
-0.7028 3.0631 4.3454 Er
-3.1593 -1.0887 7.1424 Er
-5.8802 1.2102 8.5811 Er
-3.1408 2.7939 1.3887 Er
-2.4356 5.1925 6.4777 Er
-4.5573 -1.9863 4.0889 Er
-6.0215 1.0384 2.2274 Er
-6.1302 4.1976 6.8212 Er
```

Values from the calculation:
Symmetry: P4_2/n (86)
Energy relative to the elements: -0.0459 eV per atom